[1]
Entry from Alexandria via LeMat-Bulk: crystalline GaPt2I at its relaxed geometry (GGA-PBE).

Computed properties:
The calculation puts the volume at 180 Å³ per cell. The size of the total moment comes out at 0.0 μB/cell. The total energy is -4.09 eV per atom. Its uncorrected formation energy is 74 meV/atom.

extended XYZ file:
```
8
Lattice="-2.392 2.392 7.864 2.392 -2.392 7.864 2.392 2.392 -7.864" Properties=species:S:1:pos:R:3 pbc="T T T"
Ga 0.000 0.000 0.000
Ga 0.000 2.392 3.932
Pt 3.588 0.906 -1.966
Pt 0.906 1.196 1.966
Pt -1.196 1.486 5.898
Pt 1.486 1.196 9.831
I 2.392 0.000 3.932
I 0.000 0.000 7.864
```

***

[2]
Entry from Alexandria via LeMat-Bulk: crystalline AcTb6Y3Ho2 at its relaxed geometry (GGA-PBE).

Computed properties:
The calculation puts the volume at 394 Å³ per cell. The size of the total moment comes out at 0.0 μB/cell. The total energy is -5.01 eV per atom. For the calculated formation energy, the calculation gives 0.0313 eV per atom.

extended XYZ file:
```
12
Lattice="3.113 -5.389 0.000 3.113 5.389 0.000 -2.070 0.000 11.739" Properties=species:S:1:pos:R:3 pbc="T T T"
Ac 0.000 0.000 0.000
Tb 1.053 1.813 2.973
Tb 0.021 0.000 8.763
Tb 1.053 -1.813 2.973
Tb 3.103 1.813 8.766
Tb 4.136 0.000 2.976
Tb 3.103 -1.813 8.766
Y 2.078 3.588 5.869
Y 2.078 0.000 5.869
Y 2.078 -3.588 5.869
Ho 3.113 1.796 0.000
Ho 3.113 -1.796 0.000
```

***

[3]
Entry from Alexandria via LeMat-Bulk: crystalline Er3Mg2Os at its relaxed geometry (GGA-PBE).

Computed properties:
The calculation puts the volume at 290 Å³ per cell. The size of the total moment comes out at 0.0 μB/cell. The total energy is -4.89 eV per atom. For the calculated formation energy, the calculation gives -0.2042 eV per atom.

extended XYZ file:
```
12
Lattice="2.472 -7.364 0.000 2.472 7.364 0.000 0.000 0.000 7.973" Properties=species:S:1:pos:R:3 pbc="T T T"
Er 0.000 0.000 1.732
Er 0.000 0.000 6.241
Er 2.472 2.576 1.646
Er 2.472 2.576 6.327
Er 2.472 -2.576 1.646
Er 2.472 -2.576 6.327
Mg 2.472 4.905 3.987
Mg 2.472 0.000 0.000
Mg 2.472 0.000 3.987
Mg 2.472 -4.905 3.987
Os 2.472 5.014 0.000
Os 2.472 -5.014 0.000
```

***

[4]
Entry from Alexandria via LeMat-Bulk: crystalline Li2NiIr2 at its relaxed geometry (GGA-PBE).

Computed properties:
The calculation puts the volume at 67 Å³ per cell. The size of the total moment comes out at 1.6 μB/cell. The total energy is -4.95 eV per atom. For the calculated formation energy, the calculation gives 0.5209 eV per atom.

extended XYZ file:
```
5
Lattice="-1.865 1.865 4.788 1.865 -1.865 4.788 1.865 1.865 -4.788" Properties=species:S:1:pos:R:3 pbc="T T T"
Li 0.000 0.000 0.888
Li 0.000 0.000 8.688
Ni 0.000 0.000 4.788
Ir 1.865 0.000 2.394
Ir 0.000 1.865 2.394
```

***

[5]
Entry from Alexandria via LeMat-Bulk: crystalline InAuI2N at its relaxed geometry (GGA-PBE).

Computed properties:
The calculation puts the volume at 148 Å³ per cell. The size of the total moment comes out at 1.3 μB/cell. The total energy is -2.67 eV per atom. Its uncorrected formation energy is 821 meV/atom.

extended XYZ file:
```
5
Lattice="6.016 0.000 0.000 0.000 6.016 0.000 0.000 0.000 4.081" Properties=species:S:1:pos:R:3 pbc="T T T"
In 0.000 0.000 0.000
Au 3.008 3.008 2.040
I 0.000 3.008 0.000
I 3.008 0.000 0.000
N 0.000 0.000 2.040
```

***

[6]
Entry from Alexandria via LeMat-Bulk: crystalline ErTm2InRh4 at its relaxed geometry (GGA-PBE).

Computed properties:
The calculation puts the volume at 149 Å³ per cell. The size of the total moment comes out at 0.0 μB/cell. The total energy is -6.58 eV per atom. For the calculated formation energy, the calculation gives -0.8757 eV per atom.

extended XYZ file:
```
8
Lattice="2.366 1.366 7.690 -2.366 1.366 7.690 0.000 -2.732 7.690" Properties=species:S:1:pos:R:3 pbc="T T T"
Er 0.000 0.000 0.000
Tm 0.000 0.000 5.667
Tm 0.000 0.000 17.405
In 0.000 0.000 11.536
Rh 0.000 0.000 2.856
Rh 0.000 0.000 8.660
Rh 0.000 0.000 14.411
Rh 0.000 0.000 20.215
```

***

[7]
Entry from Alexandria via LeMat-Bulk: crystalline Ta2CdCl at its relaxed geometry (GGA-PBE).

Computed properties:
The calculation puts the volume at 87 Å³ per cell. The size of the total moment comes out at 0.0 μB/cell. The total energy is -6.68 eV per atom. Its uncorrected formation energy is -66 meV/atom.

extended XYZ file:
```
4
Lattice="1.745 -2.403 0.000 1.745 2.403 0.000 0.000 0.000 10.348" Properties=species:S:1:pos:R:3 pbc="T T T"
Ta 0.000 0.000 0.000
Ta 1.745 0.000 2.149
Cd 1.745 0.000 7.925
Cl 0.000 0.000 4.060
```

***

[8]
Entry from Alexandria via LeMat-Bulk: crystalline CaSbAs2Se at its relaxed geometry (GGA-PBE).

Computed properties:
The calculation puts the volume at 150 Å³ per cell. The size of the total moment comes out at 0.0 μB/cell. The total energy is -3.72 eV per atom. Its uncorrected formation energy is 65 meV/atom.

extended XYZ file:
```
5
Lattice="5.253 0.000 0.000 0.000 5.253 0.000 0.000 0.000 5.428" Properties=species:S:1:pos:R:3 pbc="T T T"
Ca 0.000 0.000 0.000
Sb 2.626 2.626 2.714
As 0.000 2.626 2.714
As 2.626 0.000 2.714
Se 2.626 2.626 0.000
```

***

Please write out number 2 again, unchanged.
Entry from Alexandria via LeMat-Bulk: crystalline AcTb6Y3Ho2 at its relaxed geometry (GGA-PBE).

Computed properties:
The calculation puts the volume at 394 Å³ per cell. The size of the total moment comes out at 0.0 μB/cell. The total energy is -5.01 eV per atom. For the calculated formation energy, the calculation gives 0.0313 eV per atom.

extended XYZ file:
```
12
Lattice="3.113 -5.389 0.000 3.113 5.389 0.000 -2.070 0.000 11.739" Properties=species:S:1:pos:R:3 pbc="T T T"
Ac 0.000 0.000 0.000
Tb 1.053 1.813 2.973
Tb 0.021 0.000 8.763
Tb 1.053 -1.813 2.973
Tb 3.103 1.813 8.766
Tb 4.136 0.000 2.976
Tb 3.103 -1.813 8.766
Y 2.078 3.588 5.869
Y 2.078 0.000 5.869
Y 2.078 -3.588 5.869
Ho 3.113 1.796 0.000
Ho 3.113 -1.796 0.000
```

***

Q: size of the total moment of number 3 (Er3Mg2Os)?
A: 0.0 μB/cell

***

Q: size of the total moment of number 7 (Ta2CdCl)?
A: 0.0 μB/cell